# 1
Hg2IrSe | GGA-PBE | relaxed

* volume: 87 Å³ per cell
* M_tot: 0.0 μB/f.u.
* energy relative to the elements, uncorrected: 0.3228 eV/atom

a = 7.3001 Å, b = 7.3001 Å, c = 4.2570 Å
α = 72.79°, β = 72.79°, γ = 23.81°
Positions (direct):
1 Hg 0.0655 0.0655 0.9346
2 Hg 0.4345 0.4345 0.5654
3 Ir 0.7500 0.7500 0.7500
4 Se 0.2500 0.2500 0.2500


# 2
ZnRu3 | GGA-PBE | relaxed

* volume: 112 Å³ per cell
* M_tot: 0.0 μB/f.u.

a = 4.3722 Å, b = 4.7802 Å, c = 5.3435 Å
α = 90.00°, β = 90.00°, γ = 90.00°
Positions (direct):
1 Zn 0.0000 0.3515 0.0000
2 Zn 0.5000 0.6485 0.5000
3 Ru 0.5000 0.6516 0.0000
4 Ru 0.0000 0.8542 0.2601
5 Ru 0.5000 0.1458 0.2399
6 Ru 0.0000 0.3484 0.5000
7 Ru 0.0000 0.8542 0.7399
8 Ru 0.5000 0.1458 0.7601


# 3
Li3Pu3GeS8 | GGA-PBE | relaxed

* volume: 322 Å³ per cell
* M_tot: 13.2 μB/f.u.
* energy relative to the elements, uncorrected: -1.2747 eV/atom

a = 7.8693 Å, b = 7.8696 Å, c = 7.5361 Å
α = 121.49°, β = 90.00°, γ = 120.00°
Each line ends with the local moment (μB).
Positions (direct):
1 Li 0.0000 0.0000 0.0000  0.00
2 Li 0.0000 0.5000 0.0000  0.00
3 Li 0.5000 0.5000 0.0000  0.00
4 Pu 0.5000 0.0000 0.5000  4.77
5 Pu 0.5000 0.5000 0.5000  4.77
6 Pu 0.0000 0.5000 0.5000  4.77
7 Ge 0.0000 0.0000 0.5000  -0.05
8 S 0.2492 0.4984 0.2478  -0.12
9 S 0.7508 0.5016 0.7522  -0.12
10 S 0.7587 0.5174 0.2640  -0.13
11 S 0.2413 0.4826 0.7360  -0.13
12 S 0.7587 0.0051 0.2640  -0.13
13 S 0.2413 0.9949 0.7360  -0.13
14 S 0.2464 0.0051 0.2640  -0.13
15 S 0.7536 0.9949 0.7360  -0.13


# 4
CaCo2Br | GGA-PBE | relaxed

* volume: 90 Å³ per cell
* ΔE to the lowest computed polymorph: 69 meV per atom
* M_tot: 2.9 μB/f.u.
* energy relative to the elements, uncorrected: -0.1035 eV/atom

a = 7.4466 Å, b = 7.4466 Å, c = 7.4466 Å
α = 29.81°, β = 29.81°, γ = 29.81°
Each line ends with the local moment (μB).
Positions (direct):
1 Ca 0.7376 0.7376 0.7376  -0.06
2 Co 0.9763 0.9763 0.9763  1.50
3 Co 0.2943 0.2943 0.2943  1.65
4 Br 0.4919 0.4919 0.4919  0.00


Number 1: uncorrected energy -2.9145 eV per atom. Number 2: uncorrected energy -7.1633 eV per atom. Number 3: uncorrected energy -7.0329 eV per atom. Number 4: uncorrected energy -4.5750 eV per atom.